Compound: PaPbN2
Source: the Alexandria database
Functional: PBE-GGA
Structure: relaxed

The structure belongs to space group R-3m (No. 166, hexagonal axes); the cell edges are 3.5972, 3.5972 and 19.8930 Å and the angles 90.00°, 90.00° and 120.00°. The inequivalent atoms are Pa at (0.0000, 0.0000, 0.0000), Pb at (0.0000, 0.0000, 0.5000) and N at (0.0000, 0.0000, 0.2837).

=====

Compound: Pa4Pb2N
Source: the Alexandria database
Functional: PBE-GGA
Structure: relaxed

The structure belongs to space group I4/mmm (No. 139); the cell edges are 4.7015, 4.7015 and 16.2064 Å and the angles 90.00°, 90.00° and 90.00°. The inequivalent atoms are Pa at (0.0000, 0.0000, 0.1479), Pa at (0.0000, 0.5000, 0.0000), Pb at (0.0000, 0.0000, 0.3482) and N at (0.0000, 0.0000, 0.0000).

=====

Compound: Pa2RePbN6
Source: the Alexandria database
Functional: PBE-GGA
Structure: relaxed

The structure belongs to space group P4mm (No. 99); the cell edges are 5.4187, 5.4187 and 5.7004 Å and the angles 90.00°, 90.00° and 90.00°. The inequivalent atoms are Pa at (0.0000, 0.5000, 0.0000), Re at (0.0000, 0.0000, 0.6514), Pb at (0.5000, 0.5000, 0.5457), N at (0.0000, 0.0000, 0.3360), N at (0.2348, 0.2348, 0.8021) and N at (0.5000, 0.5000, 0.1420).

=====

Compound: PaRePbN4
Source: the Alexandria database
Functional: PBE-GGA
Structure: relaxed

The structure belongs to space group P2_1/m (No. 11); the cell edges are 5.9669, 5.7259 and 7.6894 Å and the angles 90.00°, 108.76° and 90.00°. The inequivalent atoms are Pa at (0.1989, 0.2500, 0.4745), Re at (0.3679, 0.7500, 0.6820), Pb at (0.0190, 0.7500, 0.1367), N at (0.1359, 0.5051, 0.6833), N at (0.3240, 0.2500, 0.1854) and N at (0.3887, 0.7500, 0.4495).

=====

Compound: PaPbS2N
Source: the Alexandria database
Functional: PBE-GGA
Structure: relaxed

The structure belongs to space group P4/nmm (No. 129, origin choice 2); the cell edges are 3.9233, 3.9233 and 13.3616 Å and the angles 90.00°, 90.00° and 90.00°. The inequivalent atoms are Pa at (0.2500, 0.2500, 0.0911), Pb at (0.2500, 0.2500, 0.6219), S at (0.2500, 0.2500, 0.3160), S at (0.2500, 0.2500, 0.8232) and N at (0.2500, 0.7500, 0.0000).

=====

Compound: Pa4SbPbN8
Source: the Alexandria database
Functional: PBE-GGA
Structure: relaxed

The structure belongs to space group R3m (No. 160, hexagonal axes); the cell edges are 7.2186, 7.2186 and 16.4143 Å and the angles 90.00°, 90.00° and 120.00°. The inequivalent atoms are Pa at (0.0000, 0.0000, 0.0000), Pa at (0.1678, 0.3357, 0.2192), Sb at (0.0000, 0.0000, 0.3967), Pb at (0.0000, 0.0000, 0.7732), N at (0.0000, 0.0000, 0.1486), N at (0.0000, 0.0000, 0.6139), N at (0.0188, 0.5094, 0.6076) and N at (0.0634, 0.5317, 0.1414).

=====

Compound: PaPbSe2N
Source: the Alexandria database
Functional: PBE-GGA
Structure: relaxed

The structure belongs to space group P4/nmm (No. 129, origin choice 2); the cell edges are 3.8819, 3.8819 and 16.6643 Å and the angles 90.00°, 90.00° and 90.00°. The inequivalent atoms are Pa at (0.2500, 0.2500, 0.0729), Pb at (0.2500, 0.2500, 0.6387), Se at (0.2500, 0.2500, 0.4249), Se at (0.2500, 0.2500, 0.8390) and N at (0.2500, 0.7500, 0.0000).

=====

Compound: Pa3Tc4PbN12
Source: the Alexandria database
Functional: PBE-GGA
Structure: relaxed

The structure belongs to space group R32 (No. 155, hexagonal axes); the cell edges are 11.5201, 11.5201 and 8.8594 Å and the angles 90.00°, 90.00° and 120.00°. The inequivalent atoms are Pa at (0.0000, 0.5533, 0.0000), Tc at (0.0000, 0.0000, 0.5000), Tc at (0.0000, 0.4460, 0.5000), Pb at (0.0000, 0.0000, 0.0000), N at (0.0000, 0.6068, 0.5000), N at (0.0000, 0.8413, 0.5000) and N at (0.0408, 0.2170, 0.1814).

=====

Number 1: total energy -8.3034 eV/atom, size of the total moment 0.000 μB/atom, E_form (uncorrected) -0.84 eV/atom. Number 2: total energy -7.9952 eV/atom, size of the total moment 0.000 μB/atom, E_form (uncorrected) -0.32 eV/atom. Number 3: total energy -8.8800 eV/atom, size of the total moment 0.105 μB/atom, E_form (uncorrected) -0.37 eV/atom. Number 4: total energy -8.7845 eV/atom, size of the total moment 0.000 μB/atom, E_form (uncorrected) -0.36 eV/atom. Number 5: total energy -7.2069 eV/atom, size of the total moment 0.000 μB/atom, E_form (uncorrected) -1.25 eV/atom. Number 6: total energy -8.9804 eV/atom, size of the total moment 0.074 μB/atom, E_form (uncorrected) -0.95 eV/atom. Number 7: total energy -6.8627 eV/atom, size of the total moment 0.000 μB/atom, E_form (uncorrected) -1.16 eV/atom. Number 8: total energy -8.8992 eV/atom, size of the total moment 0.121 μB/atom, E_form (uncorrected) -0.22 eV/atom.